(1)
NaCr3Ga: single point on PBEsol structure, meta-GGA SCAN.

Computed properties:
Energy of formation: 1.6183 eV per atom

Cell lengths 4.804, 4.804, 4.804 Å; angles 90.00, 90.00, 90.00 degrees
Sites, in units of the cell vectors:
Na  0.000  0.000  0.000
Cr  0.000  0.000  0.500
Cr  0.000  0.500  0.000
Cr  0.500  0.000  0.000
Ga  0.500  0.500  0.500

=====

(2)
NaCrGa2: single point on PBEsol structure, meta-GGA SCAN.

Computed properties:
Energy of formation: 0.0220 eV per atom

Cell lengths 6.413, 6.413, 6.413 Å; angles 90.00, 90.00, 90.00 degrees
Sites, in units of the cell vectors:
Na  0.000  0.000  0.000
Na  0.000  0.500  0.500
Na  0.500  0.000  0.500
Na  0.500  0.500  0.000
Cr  0.000  0.000  0.500
Cr  0.000  0.500  0.000
Cr  0.500  0.000  0.000
Cr  0.500  0.500  0.500
Ga  0.250  0.250  0.250
Ga  0.250  0.250  0.750
Ga  0.250  0.750  0.250
Ga  0.250  0.750  0.750
Ga  0.750  0.250  0.250
Ga  0.750  0.250  0.750
Ga  0.750  0.750  0.250
Ga  0.750  0.750  0.750

=====

(3)
NbCr3Ga: single point on PBEsol structure, meta-GGA SCAN.

Computed properties:
Energy of formation: 1.4463 eV per atom

Cell lengths 4.622, 4.622, 4.622 Å; angles 90.00, 90.00, 90.00 degrees
Sites, in units of the cell vectors:
Nb  0.000  0.000  0.000
Cr  0.000  0.000  0.500
Cr  0.000  0.500  0.000
Cr  0.500  0.000  0.000
Ga  0.500  0.500  0.500

=====

(4)
NbCrGa2Te: single point on PBEsol structure, meta-GGA SCAN.

Computed properties:
E_form (uncorrected): 0.838 eV per atom

Cell lengths 5.057, 5.057, 4.597 Å; angles 90.00, 90.00, 90.00 degrees
Sites, in units of the cell vectors:
Nb  0.000  0.000  0.000
Cr  0.000  0.000  0.500
Ga  0.000  0.500  0.000
Ga  0.500  0.000  0.000
Te  0.500  0.500  0.500

=====

What did the fourth record say?
NbCrGa2Te: single point on PBEsol structure, meta-GGA SCAN.

Computed properties:
E_form (uncorrected): 0.838 eV per atom

Cell lengths 5.057, 5.057, 4.597 Å; angles 90.00, 90.00, 90.00 degrees
Sites, in units of the cell vectors:
Nb  0.000  0.000  0.000
Cr  0.000  0.000  0.500
Ga  0.000  0.500  0.000
Ga  0.500  0.000  0.000
Te  0.500  0.500  0.500